# MnSb2O6

An optimized crystal structure of MnSb2O6 (GGA+U, Alexandria).

It has space group P321 (No. 150), with a = 8.9462 Å, b = 8.9462 Å, c = 4.8043 Å, α = 90.00°, β = 90.00° and γ = 120.00°. Symmetry generates all atoms from Mn at (0.0000, 0.6328, 0.0000), Sb at (0.0000, 0.0000, 0.0000), Sb at (0.0000, 0.3051, 0.5000), Sb at (0.3333, 0.6667, 0.5082), O at (0.1034, 0.8897, 0.7640), O at (0.1172, 0.5282, 0.7302) and O at (0.2207, 0.4456, 0.2820).

The value obtained for the total DFT energy (no corrections) is -6.567 eV/atom.